DFT (PBE-GGA) results for Ti3GaC after structural relaxation.

a b c (Å): 5.365 5.365 7.412
angles (deg): 111.84 111.84 47.43
Fractional coordinates of all 10 atoms:
1 Ti 0.109 0.109 0.203
2 Ti 0.143 0.143 0.663
3 Ti 0.358 0.358 0.067
4 Ti 0.642 0.642 0.933
5 Ti 0.857 0.857 0.337
6 Ti 0.891 0.891 0.797
7 Ga 0.394 0.394 0.568
8 Ga 0.606 0.606 0.432
9 C 0.123 0.123 0.929
10 C 0.877 0.877 0.071

- volume (A^3/atom) = 14.4
- symmetry = C2/m
- magnetic moment (μB/f.u.) = 0.00
- raw total energy (eV/atom) = -7.769
- formation energy (eV per atom) = -0.58

DFT (PBE-GGA) results for Ti3GaC after structural relaxation.

a b c (Å): 3.327 3.327 7.392
angles (deg): 90.00 90.00 90.00
Fractional coordinates of all 5 atoms:
1 Ti 0.000 0.000 0.000
2 Ti 0.000 0.500 0.689
3 Ti 0.500 0.000 0.689
4 Ga 0.000 0.000 0.363
5 C 0.500 0.500 0.903

- volume (A^3/atom) = 16.4
- symmetry = P4mm
- magnetic moment (μB/f.u.) = 0.00
- raw total energy (eV/atom) = -6.951
- formation energy (eV per atom) = 0.24

DFT (PBE-GGA) results for Ti7GaC2 after structural relaxation.

a b c (Å): 6.444 6.444 4.119
angles (deg): 90.00 90.00 115.81
Fractional coordinates of all 10 atoms:
1 Ti 0.000 0.000 0.000
2 Ti 0.169 0.435 0.000
3 Ti 0.223 0.777 0.500
4 Ti 0.435 0.169 0.000
5 Ti 0.565 0.831 0.000
6 Ti 0.777 0.223 0.500
7 Ti 0.831 0.565 0.000
8 Ga 0.500 0.500 0.500
9 C 0.203 0.797 0.000
10 C 0.797 0.203 0.000

- volume (A^3/atom) = 15.4
- symmetry = Cmmm
- magnetic moment (μB/f.u.) = 0.00
- raw total energy (eV/atom) = -7.889
- formation energy (eV per atom) = -0.21